The following is a PBE calculation of a relaxed structure of KAlCd2, from the Alexandria database.

```
KAlCd2
1.0
3.406 -5.176 0.000
3.406 5.176 0.000
0.000 0.000 3.037
K Al Cd
1 1 2
direct
0.000 0.000 0.000 K
0.500 0.500 0.000 Al
0.000 0.500 0.500 Cd
0.500 0.000 0.500 Cd
```

Values from the calculation:
* total magnetization: 0.0000 μB/atom
* calculated formation energy: 0.24 eV per atom
* total DFT energy (no corrections): -5.72 eV/f.u.
* symmetry: No. 65

=====

The following is a PBE calculation of a relaxed structure of KNa2AlCd, from the Alexandria database.

```
KNa2AlCd
1.0
5.949 0.000 0.000
0.000 5.949 0.000
0.000 0.000 5.096
K Na Al Cd
1 2 1 1
direct
0.000 0.000 0.000 K
0.000 0.500 0.500 Na
0.500 0.000 0.500 Na
0.500 0.500 0.000 Al
0.500 0.500 0.500 Cd
```

Values from the calculation:
* total magnetization: 0.0000 μB/atom
* calculated formation energy: 0.14 eV per atom
* total DFT energy (no corrections): -7.68 eV/f.u.
* symmetry: No. 123

=====

The following is a PBE calculation of a relaxed structure of KNa2AlCd, from the Alexandria database.

```
KNa2AlCd
1.0
5.945 0.000 0.000
0.000 5.945 0.000
0.000 0.000 5.166
K Na Al Cd
1 2 1 1
direct
0.000 0.000 0.000 K
0.000 0.500 0.500 Na
0.500 0.000 0.500 Na
0.500 0.500 0.500 Al
0.500 0.500 0.000 Cd
```

Values from the calculation:
* total magnetization: 0.0000 μB/atom
* calculated formation energy: 0.12 eV per atom
* total DFT energy (no corrections): -7.78 eV/f.u.
* symmetry: No. 123

=====

The following is a PBE calculation of a relaxed structure of KAlCdO3, from the Alexandria database.

```
KAlCdO3
1.0
6.012 0.000 0.000
0.000 3.420 0.000
-1.745 0.000 7.758
K Al Cd O
2 2 2 6
direct
0.122 0.250 0.172 K
0.878 0.750 0.828 K
0.396 0.250 0.849 Al
0.604 0.750 0.151 Al
0.262 0.750 0.537 Cd
0.738 0.250 0.463 Cd
0.117 0.250 0.680 O
0.351 0.750 0.942 O
0.441 0.750 0.317 O
0.559 0.250 0.683 O
0.649 0.250 0.058 O
0.883 0.750 0.320 O
```

Values from the calculation:
* total magnetization: 0.0000 μB/atom
* total DFT energy (no corrections): -31.94 eV/f.u.
* formation energy from raw total energies: -1091 kJ/mol of formula units
* symmetry: No. 11